Entry one
HgB2O: relaxed, PBE-GGA.

Output
M_tot = 0.00 μB/atom
Space-group type = I-42d

POSCAR file:
```
HgB2O
1.0
-2.352 2.352 4.185
2.352 -2.352 4.185
2.352 2.352 -4.185
Hg B O
2 4 2
direct
0.000 0.000 0.000
0.750 0.250 0.500
0.222 0.625 0.097
0.375 0.472 0.597
0.528 0.125 0.903
0.875 0.778 0.403
0.250 0.750 0.500
0.500 0.500 0.000
```


Entry two
HgB2O: relaxed, PBE-GGA.

Output
M_tot = 0.00 μB/atom
Space-group type = Fm-3m

POSCAR file:
```
HgB2O
1.0
0.000 2.900 2.900
2.900 0.000 2.900
2.900 2.900 0.000
Hg B O
1 2 1
direct
0.000 0.000 0.000
0.250 0.250 0.250
0.750 0.750 0.750
0.500 0.500 0.500
```


Least stable = entry two